Below is a relaxed Sr3WO6 crystal, with properties calculated at the PBE+U level.

abc: 6.9261 6.9261 6.9261
angles: 91.66 91.66 91.66
With the nearest neighbours (Å) after each atom.
Fractional positions:
Sr1 0.0613 0.7535 0.5639  6 O 2.47-2.64
Sr2 0.2465 0.4361 0.9387  6 O 2.47-2.64
Sr3 0.4361 0.9387 0.2465  6 O 2.47-2.64
Sr4 0.5639 0.0613 0.7535  6 O 2.47-2.64
Sr5 0.7535 0.5639 0.0613  6 O 2.47-2.64
Sr6 0.9387 0.2465 0.4361  6 O 2.47-2.64
W1 0.0000 0.0000 0.0000  6 O 1.97
W2 0.5000 0.5000 0.5000  6 O 1.98
O1 0.0465 0.7289 0.9260  1 W 1.97
O2 0.0740 0.9535 0.2711  1 W 1.97
O3 0.2284 0.4348 0.5576  1 W 1.98
O4 0.2711 0.0740 0.9535  1 W 1.97
O5 0.4348 0.5576 0.2284  1 W 1.98
O6 0.4424 0.7716 0.5652  1 W 1.98
O7 0.5576 0.2284 0.4348  1 W 1.98
O8 0.5652 0.4424 0.7716  1 W 1.98
O9 0.7289 0.9260 0.0465  1 W 1.97
O10 0.7716 0.5652 0.4424  1 W 1.98
O11 0.9260 0.0465 0.7289  1 W 1.97
O12 0.9535 0.2711 0.0740  1 W 1.97

Computed properties:
- E: -6.910 eV per atom

Below is a relaxed Ac2TmFeO6 crystal, with properties calculated at the PBE+U level.

abc: 5.8013 5.8146 10.0184
angles: 90.00 124.98 90.00
With the nearest neighbours (Å) after each atom.
Fractional positions:
Ac1 0.2410 0.0311 0.2489  6 O 2.53-2.77
Ac2 0.2410 0.4689 0.7489  6 O 2.53-2.77
Ac3 0.7590 0.5311 0.2511  6 O 2.53-2.77
Ac4 0.7590 0.9689 0.7511  6 O 2.53-2.77
Tm1 0.5000 0.0000 0.0000  6 O 2.19-2.20
Tm2 0.5000 0.5000 0.5000  6 O 2.19-2.20
Fe1 0.0000 0.0000 0.5000  6 O 2.00
Fe2 0.0000 0.5000 0.0000  6 O 2.00
O1 0.1650 0.2296 0.9594  1 Fe 2.00, 1 Tm 2.20
O2 0.1650 0.2704 0.4594  1 Fe 2.00, 1 Tm 2.20
O3 0.2277 0.7075 0.9594  1 Fe 2.00, 1 Tm 2.19
O4 0.2277 0.7925 0.4594  1 Fe 2.00, 1 Tm 2.19
O5 0.3124 0.0175 0.7378  1 Fe 2.00, 1 Tm 2.20
O6 0.3124 0.4825 0.2378  1 Fe 2.00, 1 Tm 2.20
O7 0.6876 0.5175 0.7622  1 Fe 2.00, 1 Tm 2.20
O8 0.6876 0.9825 0.2622  1 Fe 2.00, 1 Tm 2.20
O9 0.7723 0.2075 0.5406  1 Fe 2.00, 1 Tm 2.19
O10 0.7723 0.2925 0.0406  1 Fe 2.00, 1 Tm 2.19
O11 0.8350 0.7296 0.5406  1 Fe 2.00, 1 Tm 2.20
O12 0.8350 0.7704 0.0406  1 Fe 2.00, 1 Tm 2.20

Computed properties:
- E: -7.625 eV per atom